1.
## Ac2SiSe5 (PBE-GGA)

Data for Ac2SiSe5 after structural relaxation.

a = 12.398 Å, b = 9.246 Å, c = 9.312 Å
α = 90.00°, β = 109.07°, γ = 90.00°
Space group P2_1/c (No. 14)
Asymmetric unit:
Ac 0.026 0.126 0.234 x4
Ac 0.377 0.138 0.057 x4
Si 0.303 0.583 0.026 x4
Se 0.113 0.121 0.951 x4
Se 0.113 0.615 0.003 x4
Se 0.294 0.089 0.340 x4
Se 0.372 0.708 0.462 x4
Se 0.412 0.054 0.732 x4

Properties
The value obtained for the energy above the lowest structure with this stoichiometry is 0 meV/atom. Its final energy is -0.195 Ha/atom.


2.
## Ac2SiSe (PBE-GGA)

Data for Ac2SiSe after structural relaxation.

a = 4.5567 Å, b = 4.5567 Å, c = 22.3374 Å
α = 90.00°, β = 90.00°, γ = 120.00°
Space group R-3m (No. 166, hexagonal axes)
Asymmetric unit:
Ac 0.0000 0.0000 0.2457 x6
Si 0.0000 0.0000 0.5000 x3
Se 0.0000 0.0000 0.0000 x3

Properties
The value obtained for the energy above the lowest structure with this stoichiometry is 10 meV/atom. Its final energy is -0.203 Ha/atom.


3.
## Ac4Si2Se (PBE-GGA)

Data for Ac4Si2Se after structural relaxation.

a = 9.624 Å, b = 9.624 Å, c = 9.658 Å
α = 90.00°, β = 90.00°, γ = 90.00°
Space group I-42d (No. 122)
Asymmetric unit:
Ac 0.070 0.184 0.314 x16
Si 0.128 0.250 0.625 x8
Se 0.000 0.000 0.000 x4

Properties
Its final energy is -0.193 Ha/atom.


4.
## Ac2SiSe (PBE-GGA)

Data for Ac2SiSe after structural relaxation.

a = 7.758 Å, b = 7.758 Å, c = 7.758 Å
α = 90.00°, β = 90.00°, γ = 90.00°
Space group Fm-3m (No. 225)
Asymmetric unit:
Ac 0.250 0.250 0.250 x8
Si 0.000 0.000 0.000 x4
Se 0.000 0.000 0.500 x4

Properties
The value obtained for the energy above the lowest structure with this stoichiometry is 287 meV/atom. Its final energy is -0.193 Ha/atom.